(A)
A plane-wave DFT calculation with PBE-GGA was carried out for crystalline Ba2Li2La at its relaxed geometry.

Unit cell a=9.9004 b=9.9004 c=3.8503 alpha=90.00 beta=90.00 gamma=90.00
Space group P4/mbm (No. 127)
One atom of each set of equivalent atoms:
Ba (0.1406, 0.3594, 0.0000)
Li (0.1621, 0.6621, 0.5000)
La (0.0000, 0.0000, 0.0000)


(B)
A plane-wave DFT calculation with PBE-GGA was carried out for crystalline Ba2Li2La at its relaxed geometry.

Unit cell a=4.0292 b=4.0292 c=24.6375 alpha=90.00 beta=90.00 gamma=90.00
Space group I4/mmm (No. 139)
One atom of each set of equivalent atoms:
Ba (0.0000, 0.0000, 0.1213)
Li (0.0000, 0.5000, 0.2500)
La (0.0000, 0.0000, 0.5000)


Question: of the structures shown, which is the most stable? Reply: (B).